No. 1
LaPrTm5Th2: relaxed, GGA-PBE.

Output
For the total magnetic moment, the calculation gives 0.0 μB per formula unit. For the formation energy, the calculation gives 7.28 kcal/mol of atoms. The final energy comes out at -176.24 eV/cell.

a b c (Å): 8.904 8.904 15.155
angles (deg): 90.00 90.00 90.00
Space group I4/mcm (No. 140)
Unique sites:
La (0.000, 0.000, 0.250) x4
Pr (0.000, 0.500, 0.250) x4
Tm (0.000, 0.000, 0.000) x4
Tm (0.205, 0.295, 0.135) x16
Th (0.119, 0.381, 0.500) x8

No. 2
Cd2MoRu: relaxed, GGA-PBE.

Output
For the total magnetic moment, the calculation gives 0.4 μB per formula unit. Its offset from the most stable computed form is 390 meV per atom. For the formation energy, the calculation gives 11.73 kcal/mol of atoms. The final energy comes out at -59.71 eV/cell.

a b c (Å): 2.8843 2.8843 28.8417
angles (deg): 90.00 90.00 120.00
Space group R-3m (No. 166, hexagonal axes)
Unique sites:
Cd (0.0000, 0.0000, 0.2475) x6
Mo (0.0000, 0.0000, 0.0000) x3
Ru (0.0000, 0.0000, 0.5000) x3

No. 3
RbAg3Br4: relaxed, GGA-PBE.

Output
For the total magnetic moment, the calculation gives 0.0 μB per formula unit. Its offset from the most stable computed form is 0 meV per atom. The final energy comes out at -43.13 eV/cell.

a b c (Å): 7.483 7.483 9.218
angles (deg): 90.00 90.00 90.00
Space group I-42m (No. 121)
Unique sites:
Rb (0.000, 0.000, 0.000) x2
Ag (0.000, 0.000, 0.500) x2
Ag (0.000, 0.500, 0.250) x4
Br (0.209, 0.209, 0.328) x8

No. 4
Sm2Al3GaPt4: relaxed, GGA-PBE.

Output
For the total magnetic moment, the calculation gives 0.0 μB per formula unit. For the formation energy, the calculation gives -25.04 kcal/mol of atoms. The final energy comes out at -58.71 eV/cell.

a b c (Å): 4.282 4.282 10.364
angles (deg): 90.00 90.00 90.00
Space group P-4m2 (No. 115)
Unique sites:
Sm (0.000, 0.500, 0.248) x2
Al (0.000, 0.000, 0.000) x1
Al (0.000, 0.500, 0.627) x2
Ga (0.500, 0.500, 0.000) x1
Pt (0.000, 0.000, 0.500) x1
Pt (0.000, 0.500, 0.865) x2
Pt (0.500, 0.500, 0.500) x1

No. 5
YNi2Se: relaxed, GGA-PBE.

Output
For the total magnetic moment, the calculation gives 0.0 μB per formula unit. The final energy comes out at -69.63 eV/cell.

a b c (Å): 4.0209 4.0209 14.5840
angles (deg): 90.00 90.00 120.00
Space group R-3m (No. 166, hexagonal axes)
Unique sites:
Y (0.0000, 0.0000, 0.0000) x3
Ni (0.0000, 0.0000, 0.2091) x6
Se (0.0000, 0.0000, 0.5000) x3

No. 6
Pm10PrY6: relaxed, GGA-PBE.

Output
For the total magnetic moment, the calculation gives 0.0 μB per formula unit. For the formation energy, the calculation gives 3.12 kcal/mol of atoms. The final energy comes out at -88.77 eV/cell.

a b c (Å): 9.8752 9.8752 6.9261
angles (deg): 90.00 90.00 120.00
Space group P-31m (No. 162)
Unique sites:
Pm (0.0000, 0.2768, 0.3196) x6
Pm (0.3333, 0.6667, 0.0000) x2
Pm (0.3333, 0.6667, 0.5000) x2
Pr (0.0000, 0.0000, 0.0000) x1
Y (0.0000, 0.3715, 0.8090) x6